Here is crystalline Na2BiPbS at its relaxed geometry from the Alexandria database. Energies are from PBE.

Cell: 6.1879 6.1879 5.1509 Å, 90.00 90.00 90.00°
Closest atoms and distances in Å follow each position.
Fractional positions:
Na 0.0000 0.5000 0.0000  2 Pb 3.09
Na 0.5000 0.0000 0.0000  2 Pb 3.09
Bi 0.0000 0.0000 0.5000  8 Na 4.03, 4 S 4.38
Pb 0.5000 0.5000 0.0000  2 S 2.58
S 0.5000 0.5000 0.5000  2 Pb 2.58

Values from the calculation:
Formation energy from raw total energies   36.6 kJ per mole of atoms
Energy   -2.4920 eV per atom